Density functional theory data (PBE) for a geometry-optimized AgAsPd4 structure.

Values from the calculation:
The space group is No. 14. For the formation energy, the calculation gives -14.44 kJ/mol of atoms.

a b c (Å): 7.8068 5.7106 9.0386
angles (deg): 90.00 91.35 90.00
Sites, in units of the cell vectors:
Ag1 0.2370 0.2482 0.3811
Ag2 0.2370 0.2518 0.8811
Ag3 0.7630 0.7482 0.1189
Ag4 0.7630 0.7518 0.6189
As1 0.3639 0.7227 0.6255
As2 0.3639 0.7773 0.1255
As3 0.6361 0.2227 0.8745
As4 0.6361 0.2773 0.3745
Pd1 0.1032 0.5057 0.1256
Pd2 0.1032 0.9943 0.6256
Pd3 0.1052 0.0168 0.1287
Pd4 0.1052 0.4832 0.6287
Pd5 0.2080 0.7457 0.3777
Pd6 0.2080 0.7543 0.8777
Pd7 0.4528 0.1342 0.6399
Pd8 0.4528 0.3658 0.1399
Pd9 0.5472 0.6342 0.8601
Pd10 0.5472 0.8658 0.3601
Pd11 0.7920 0.2457 0.1223
Pd12 0.7920 0.2543 0.6223
Pd13 0.8948 0.5168 0.3713
Pd14 0.8948 0.9832 0.8713
Pd15 0.8968 0.0057 0.3744
Pd16 0.8968 0.4943 0.8744